[1]
Computed, not measured: a relaxed structure of PrYGa2Au5 at the PBE level of DFT.

Summary:
- D(E_F) (states/eV per cell) = 5.689
- energy of formation (kJ/mol of formula units) = -450

Cell and atoms, written as POSCAR:
```
PrYGa2Au5
1.0
4.711 0.000 0.000
0.000 4.711 0.000
0.000 0.000 8.635
Pr Y Ga Au
1 1 2 5
Direct
0.000 0.000 0.500 Pr
0.000 0.000 0.000 Y
0.500 0.500 0.143 Ga
0.500 0.500 0.857 Ga
0.000 0.500 0.261 Au
0.500 0.000 0.261 Au
0.000 0.500 0.739 Au
0.500 0.000 0.739 Au
0.500 0.500 0.500 Au
```



[2]
Computed, not measured: a relaxed structure of Pm2Sm3Th4 at the PBE level of DFT.

Summary:
- D(E_F) (states/eV per cell) = 13.655
- energy of formation (kJ/mol of formula units) = 42

Cell and atoms, written as POSCAR:
```
Pm2Sm3Th4
1.0
5.093 0.000 0.000
-2.546 5.091 -5.751
0.000 -2.744 14.645
Pm Sm Th
2 3 4
Direct
0.770 0.540 0.331 Pm
0.230 0.460 0.669 Pm
0.554 0.109 0.672 Sm
0.000 0.000 0.000 Sm
0.446 0.891 0.328 Sm
0.668 0.336 0.998 Th
0.332 0.664 0.002 Th
0.892 0.783 0.669 Th
0.108 0.217 0.331 Th
```



[3]
Computed, not measured: a relaxed structure of LiSmEuBi at the PBE level of DFT.

Summary:
- D(E_F) (states/eV per cell) = 2.780
- energy of formation (kJ/mol of formula units) = -150

Cell and atoms, written as POSCAR:
```
LiSmEuBi
1.0
5.492 0.000 0.000
2.746 4.756 0.000
2.746 1.585 4.484
Eu Bi Sm Li
1 1 1 1
Direct
0.750 0.750 0.750 Eu
0.500 0.500 0.500 Bi
0.250 0.250 0.250 Sm
0.000 0.000 0.000 Li
```



[4]
Computed, not measured: a relaxed structure of TaTl2W at the PBE level of DFT.

Summary:
- E above lowest polymorph (meV/atom) = 76.3
- D(E_F) (states/eV per cell) = 3.184
- energy of formation (kJ/mol of formula units) = 228

Cell and atoms, written as POSCAR:
```
TaTl2W
1.0
3.318 0.000 0.000
0.000 3.316 0.000
0.000 0.000 8.380
Ta Tl W
1 2 1
Direct
0.500 0.500 0.695 Ta
0.000 0.000 0.970 Tl
0.500 0.500 0.289 Tl
0.000 0.000 0.546 W
```



[5]
Computed, not measured: a relaxed structure of AgN at the PBE level of DFT.

Summary:
- E above lowest polymorph (meV/atom) = 1360.9
- energy relative to the elements, uncorrected (eV per atom) = 1.619
- D(E_F) (states/eV per cell) = 6.746

Cell and atoms, written as POSCAR:
```
AgN
1.0
-3.668 3.506 5.308
4.010 -5.936 1.613
3.212 2.351 0.667
Ag N
6 6
Direct
0.875 0.295 0.250 Ag
0.580 0.875 0.750 Ag
0.705 0.580 0.250 Ag
0.125 0.705 0.750 Ag
0.420 0.125 0.250 Ag
0.295 0.420 0.750 Ag
0.617 0.979 0.250 N
0.638 0.617 0.750 N
0.021 0.638 0.250 N
0.383 0.021 0.750 N
0.362 0.383 0.250 N
0.979 0.362 0.750 N
```



[6]
Computed, not measured: a relaxed structure of FeCo2NiSe6 at the PBE level of DFT.

Summary:
- energy relative to the elements, uncorrected (eV per atom) = -0.246
- D(E_F) (states/eV per cell) = 6.698

Cell and atoms, written as POSCAR:
```
FeCo2NiSe6
1.0
6.077 0.001 0.001
3.040 5.264 0.000
3.039 1.755 5.303
Fe Co Ni Se
1 2 1 6
Direct
0.314 0.314 0.059 Fe
0.517 0.517 0.448 Co
0.015 0.015 0.954 Co
0.816 0.816 0.552 Ni
0.607 0.227 0.248 Se
0.227 0.918 0.248 Se
0.918 0.608 0.248 Se
0.411 0.721 0.753 Se
0.722 0.115 0.752 Se
0.115 0.410 0.753 Se
```



[7]
Computed, not measured: a relaxed structure of CdAgAs2 at the PBE level of DFT.

Summary:
- D(E_F) (states/eV per cell) = 1.434
- energy of formation (kJ/mol of formula units) = 92

Cell and atoms, written as POSCAR:
```
CdAgAs2
1.0
-1.202 -3.998 -3.233
0.693 -1.783 4.922
-3.000 0.448 0.576
As Ag Cd
2 1 1
Direct
0.000 0.000 0.000 As
0.500 0.500 0.000 As
0.000 0.500 0.500 Ag
0.500 0.000 0.500 Cd
```



[8]
Computed, not measured: a relaxed structure of Ho3ErTm6Sc2 at the PBE level of DFT.

Summary:
- D(E_F) (states/eV per cell) = 18.093
- energy of formation (kJ/mol of formula units) = 45

Cell and atoms, written as POSCAR:
```
Ho3ErTm6Sc2
1.0
-2.347 4.930 2.480
-1.107 -5.380 2.408
10.283 1.202 4.925
Ho Er Tm Sc
3 1 6 2
Direct
0.167 0.833 0.500 Ho
0.833 0.167 0.500 Ho
0.500 0.500 0.500 Ho
0.000 0.000 0.000 Er
0.918 0.583 0.755 Tm
0.747 0.747 0.245 Tm
0.082 0.417 0.245 Tm
0.583 0.918 0.755 Tm
0.253 0.253 0.755 Tm
0.417 0.082 0.245 Tm
0.333 0.667 0.000 Sc
0.667 0.333 0.000 Sc
```



[9]
Computed, not measured: a relaxed structure of BaCuBS3 at the PBE level of DFT.

Summary:
- energy relative to the elements, uncorrected (eV per atom) = -0.941

Cell and atoms, written as POSCAR:
```
BaCuBS3
1.0
-2.313 4.509 -4.442
-4.273 -1.751 -4.908
-7.180 2.112 1.828
Ba Cu B S
2 2 2 6
Direct
0.695 0.695 0.781 Ba
0.305 0.305 0.219 Ba
0.293 0.707 0.500 Cu
0.707 0.293 0.500 Cu
0.032 0.032 0.752 B
0.968 0.968 0.248 B
0.197 0.197 0.676 S
0.182 0.701 0.800 S
0.701 0.182 0.800 S
0.299 0.818 0.200 S
0.818 0.299 0.200 S
0.803 0.803 0.324 S
```



[10]
Computed, not measured: a relaxed structure of La2Zn3Pt12Rh at the PBE level of DFT.

Summary:
- D(E_F) (states/eV per cell) = 11.608
- energy of formation (kJ/mol of formula units) = -502

Cell and atoms, written as POSCAR:
```
La2Zn3Pt12Rh
1.0
9.415 1.532 1.087
5.982 7.430 1.087
5.982 3.482 6.653
La Zn Pt Rh
2 3 12 1
Direct
0.660 0.660 0.660 La
0.340 0.340 0.340 La
0.500 0.000 0.000 Zn
0.000 0.500 0.000 Zn
0.000 0.000 0.500 Zn
0.415 0.415 0.812 Pt
0.920 0.920 0.366 Pt
0.366 0.920 0.920 Pt
0.812 0.415 0.415 Pt
0.920 0.366 0.920 Pt
0.415 0.812 0.415 Pt
0.585 0.585 0.188 Pt
0.080 0.080 0.634 Pt
0.634 0.080 0.080 Pt
0.188 0.585 0.585 Pt
0.080 0.634 0.080 Pt
0.585 0.188 0.585 Pt
0.000 0.000 0.000 Rh
```



What is the formula in the fourth record? TaTl2W



Copy entry 6 word for word.
Computed, not measured: a relaxed structure of FeCo2NiSe6 at the PBE level of DFT.

Summary:
- energy relative to the elements, uncorrected (eV per atom) = -0.246
- D(E_F) (states/eV per cell) = 6.698

Cell and atoms, written as POSCAR:
```
FeCo2NiSe6
1.0
6.077 0.001 0.001
3.040 5.264 0.000
3.039 1.755 5.303
Fe Co Ni Se
1 2 1 6
Direct
0.314 0.314 0.059 Fe
0.517 0.517 0.448 Co
0.015 0.015 0.954 Co
0.816 0.816 0.552 Ni
0.607 0.227 0.248 Se
0.227 0.918 0.248 Se
0.918 0.608 0.248 Se
0.411 0.721 0.753 Se
0.722 0.115 0.752 Se
0.115 0.410 0.753 Se
```



Which formula does entry 7 have? CdAgAs2